## CaLa3Ir (PBEsol)

Data for an optimized crystal structure of CaLa3Ir.

The structure in POSCAR format:
```
CaLa3Ir
1.0
5.655 0.000 0.000
0.000 5.655 0.000
0.000 0.000 5.655
Ca La Ir
1 3 1
Cartesian
0.000 0.000 0.000 Ca
0.000 2.828 2.828 La
2.828 0.000 2.828 La
2.828 2.828 0.000 La
2.828 2.828 2.828 Ir
```

Properties
E, eV for the cell shown: -29.30
Energy relative to the elements, meV/atom: -260

## BaCoTc4 (PBEsol)

Data for an optimized crystal structure of BaCoTc4.

The structure in POSCAR format:
```
BaCoTc4
1.0
0.000 3.723 3.723
3.723 0.000 3.723
3.723 3.723 0.000
Ba Co Tc
1 1 4
Cartesian
0.000 0.000 0.000 Ba
1.861 1.861 1.861 Co
4.646 2.799 2.799 Tc
2.799 4.646 2.799 Tc
2.799 2.799 4.646 Tc
4.646 4.646 4.646 Tc
```

Properties
E, eV for the cell shown: -48.68
Energy relative to the elements, meV/atom: 1046

## LaZnBr3 (PBEsol)

Data for an optimized crystal structure of LaZnBr3.

The structure in POSCAR format:
```
LaZnBr3
1.0
5.789 0.000 0.000
0.000 5.789 0.000
0.000 0.000 5.789
La Zn Br
1 1 3
Cartesian
0.000 0.000 0.000 La
2.895 2.895 2.895 Zn
0.000 0.000 2.895 Br
0.000 2.895 0.000 Br
2.895 0.000 0.000 Br
```

Properties
E_form (uncorrected), eV per atom: -1.202
E, eV for the cell shown: -18.55